Density functional theory data (PBE) for an optimized crystal structure of LaCdBr2.

Cell lengths 8.072, 8.072, 5.070 Å; angles 108.13, 108.13, 26.22 degrees
Element x y z (fractional)
La 0.000 0.000 0.000
Cd 0.700 0.700 0.198
Br 0.337 0.337 0.839
Br 0.527 0.527 0.527

Its electronic total energy is -3.41 eV per atom.